Record 1
The following is a GGA-PBE calculation of crystalline Tm3Te at its relaxed geometry, from Alexandria.

## Properties
spin magnetization: 0.000 μB/atom
volume: 899.7 Å³ per cell
symmetry: P4_2/n
N(E_F): 1.2124 states/eV/atom
calculated density: 9.367 g cm⁻³
formation energy without anion corrections: -589 meV/atom
energy above the most stable polymorph in this dataset: 0 meV/atom

Cell: 6.0596 12.1851 12.1851 Å, 90.00 90.00 90.00°
Last column: nearest neighbours and their distance in Å.
Fractional positions:
1 Tm 0.0126 0.2863 0.8238  3 Te 3.08-3.20, 2 Tm 3.36-3.42
2 Tm 0.0126 0.7137 0.1762  3 Te 3.08-3.20, 2 Tm 3.36-3.42
3 Tm 0.5126 0.6762 0.7863  3 Te 3.08-3.20, 2 Tm 3.36-3.42
4 Tm 0.5126 0.3238 0.2137  3 Te 3.08-3.20, 2 Tm 3.36-3.42
5 Tm 0.4874 0.2137 0.6762  3 Te 3.08-3.20, 2 Tm 3.36-3.42
6 Tm 0.4874 0.7863 0.3238  3 Te 3.08-3.20, 2 Tm 3.36-3.42
7 Tm 0.9874 0.8238 0.7137  3 Te 3.08-3.20, 2 Tm 3.36-3.42
8 Tm 0.9874 0.1762 0.2863  3 Te 3.08-3.20, 2 Tm 3.36-3.42
9 Tm 0.5360 0.3923 0.9173  2 Te 3.12-3.20, 2 Tm 3.31-3.36
10 Tm 0.5360 0.6077 0.0827  2 Te 3.12-3.20, 2 Tm 3.31-3.36
11 Tm 0.0360 0.5827 0.8923  2 Te 3.12-3.20, 2 Tm 3.31-3.36
12 Tm 0.0360 0.4173 0.1077  2 Te 3.12-3.20, 2 Tm 3.31-3.36
13 Tm 0.9640 0.1077 0.5827  2 Te 3.12-3.20, 2 Tm 3.31-3.36
14 Tm 0.9640 0.8923 0.4173  2 Te 3.12-3.20, 2 Tm 3.31-3.36
15 Tm 0.4640 0.9173 0.6077  2 Te 3.12-3.20, 2 Tm 3.31-3.36
16 Tm 0.4640 0.0827 0.3923  2 Te 3.12-3.20, 2 Tm 3.31-3.36
17 Tm 0.7089 0.0292 0.8568  4 Te 3.09-3.13, 1 Tm 3.42
18 Tm 0.7089 0.9708 0.1432  4 Te 3.09-3.13, 1 Tm 3.42
19 Tm 0.2089 0.6432 0.5292  4 Te 3.09-3.13, 1 Tm 3.42
20 Tm 0.2089 0.3568 0.4708  4 Te 3.09-3.13, 1 Tm 3.42
21 Tm 0.7911 0.4708 0.6432  4 Te 3.09-3.13, 1 Tm 3.42
22 Tm 0.7911 0.5292 0.3568  4 Te 3.09-3.13, 1 Tm 3.42
23 Tm 0.2911 0.8568 0.9708  4 Te 3.09-3.13, 1 Tm 3.42
24 Tm 0.2911 0.1432 0.0292  4 Te 3.09-3.13, 1 Tm 3.42
25 Te 0.7943 0.7997 0.9569  9 Tm 3.08-3.20
26 Te 0.7943 0.2003 0.0431  9 Tm 3.08-3.20
27 Te 0.2943 0.5431 0.2997  9 Tm 3.08-3.20
28 Te 0.2943 0.4569 0.7003  9 Tm 3.08-3.20
29 Te 0.7057 0.7003 0.5431  9 Tm 3.08-3.20
30 Te 0.7057 0.2997 0.4569  9 Tm 3.08-3.20
31 Te 0.2057 0.9569 0.2003  9 Tm 3.08-3.20
32 Te 0.2057 0.0431 0.7997  9 Tm 3.08-3.20


Record 2
The following is a GGA-PBE calculation of crystalline TmTe2 at its relaxed geometry, from Alexandria.

## Properties
spin magnetization: 0.000 μB/atom
volume: 83.3 Å³ per cell
symmetry: C2/m
N(E_F): 0.4867 states/eV/atom
calculated density: 8.456 g cm⁻³
formation energy without anion corrections: -927 meV/atom

Cell: 3.9223 3.9223 6.0796 Å, 108.78 108.78 89.97°
Last column: nearest neighbours and their distance in Å.
Fractional positions:
1 Tm 0.5000 0.5000 0.0000  8 Te 3.19-3.21
2 Te 0.1487 0.1487 0.2939  4 Te 3.18-3.56, 4 Tm 3.19-3.21
3 Te 0.8513 0.8513 0.7061  4 Te 3.18-3.56, 4 Tm 3.19-3.21


Record 3
The following is a GGA-PBE calculation of crystalline Tm4Te3 at its relaxed geometry, from Alexandria.

## Properties
spin magnetization: 0.000 μB/atom
volume: 365.2 Å³ per cell
symmetry: I-43d
N(E_F): 0.2945 states/eV/atom
calculated density: 9.627 g cm⁻³
formation energy without anion corrections: -957 meV/atom

Cell: 7.7990 7.7990 7.7990 Å, 109.47 109.47 109.47°
Last column: nearest neighbours and their distance in Å.
Fractional positions:
1 Tm 0.3531 0.5000 0.0000  6 Te 3.02-3.22
2 Tm 0.5000 0.3531 0.5000  6 Te 3.02-3.22
3 Tm 0.0000 0.0000 0.3531  6 Te 3.02-3.22
4 Tm 0.6469 0.1469 0.1469  6 Te 3.02-3.22
5 Tm 0.0000 0.0000 0.8531  6 Te 3.02-3.22
6 Tm 0.1469 0.6469 0.6469  6 Te 3.02-3.22
7 Tm 0.8531 0.5000 0.0000  6 Te 3.02-3.22
8 Tm 0.5000 0.8531 0.5000  6 Te 3.02-3.22
9 Te 0.1250 0.3750 0.2500  8 Tm 3.02-3.22
10 Te 0.6250 0.7500 0.8750  8 Tm 3.02-3.22
11 Te 0.8750 0.2500 0.6250  8 Tm 3.02-3.22
12 Te 0.2500 0.8750 0.1250  8 Tm 3.02-3.22
13 Te 0.7500 0.6250 0.3750  8 Tm 3.02-3.22
14 Te 0.3750 0.1250 0.7500  8 Tm 3.02-3.22


Record 4
The following is a GGA-PBE calculation of crystalline Tm3Te at its relaxed geometry, from Alexandria.

## Properties
spin magnetization: 0.000 μB/atom
volume: 232.7 Å³ per cell
symmetry: P2_1/m
N(E_F): 1.0057 states/eV/atom
calculated density: 9.054 g cm⁻³
formation energy without anion corrections: -551 meV/atom
energy above the most stable polymorph in this dataset: 37 meV/atom

Cell: 3.8217 7.1901 8.4900 Å, 94.05 90.00 90.00°
Last column: nearest neighbours and their distance in Å.
Fractional positions:
1 Tm 0.7500 0.2071 0.4282  3 Te 3.11-3.25
2 Tm 0.7500 0.0892 0.8490  2 Te 3.17, 5 Tm 3.29-3.51
3 Tm 0.7500 0.6375 0.8912  2 Te 3.12, 5 Tm 3.29-3.43
4 Tm 0.2500 0.7929 0.5718  3 Te 3.11-3.25
5 Tm 0.2500 0.9108 0.1510  2 Te 3.17, 5 Tm 3.29-3.51
6 Tm 0.2500 0.3625 0.1088  2 Te 3.12, 5 Tm 3.29-3.43
7 Te 0.2500 0.3730 0.6902  7 Tm 3.11-3.25
8 Te 0.7500 0.6270 0.3098  7 Tm 3.11-3.25


Record 5
The following is a GGA-PBE calculation of crystalline Tm2Te at its relaxed geometry, from Alexandria.

## Properties
spin magnetization: 0.001 μB/atom
volume: 179.3 Å³ per cell
symmetry: Cmcm
N(E_F): 1.2481 states/eV/atom
calculated density: 8.623 g cm⁻³
formation energy without anion corrections: -742 meV/atom

Cell: 3.9297 5.9291 7.9400 Å, 90.00 104.30 90.00°
Last column: nearest neighbours and their distance in Å.
Fractional positions:
1 Tm 0.4458 0.7500 0.8912  2 Te 3.03
2 Tm 0.1368 0.7500 0.2741  4 Te 3.13-3.14
3 Tm 0.5542 0.2500 0.1088  2 Te 3.03
4 Tm 0.8632 0.2500 0.7259  4 Te 3.13-3.14
5 Te 0.7955 0.7500 0.5911  6 Tm 3.03-3.14
6 Te 0.2045 0.2500 0.4089  6 Tm 3.03-3.14


Record 6
The following is a GGA-PBE calculation of crystalline Tm4Te5 at its relaxed geometry, from Alexandria.

## Properties
spin magnetization: 0.000 μB/atom
volume: 263.4 Å³ per cell
symmetry: I4/mmm
N(E_F): 0.5802 states/eV/atom
calculated density: 8.281 g cm⁻³
formation energy without anion corrections: -861 meV/atom

Cell: 3.8491 8.4936 8.4936 Å, 87.06 76.90 76.90°
Last column: nearest neighbours and their distance in Å.
Fractional positions:
1 Tm 0.6566 0.0000 0.6867  6 Te 3.17-3.23
2 Tm 0.3434 0.3133 0.0000  6 Te 3.17-3.23
3 Tm 0.3434 0.0000 0.3133  6 Te 3.17-3.23
4 Tm 0.6566 0.6867 0.0000  6 Te 3.17-3.23
5 Te 0.6952 0.3048 0.3048  4 Tm 3.17
6 Te 0.3048 0.6952 0.6952  4 Tm 3.17
7 Te 0.0000 0.0000 0.0000  8 Tm 3.23, 4 Te 3.57
8 Te 0.0000 0.6952 0.3048  4 Tm 3.17
9 Te 0.0000 0.3048 0.6952  4 Tm 3.17


Record 7
The following is a GGA-PBE calculation of crystalline TmTe3 at its relaxed geometry, from Alexandria.

## Properties
spin magnetization: 0.000 μB/atom
volume: 261.3 Å³ per cell
symmetry: Cmcm
N(E_F): 0.5365 states/eV/atom
calculated density: 7.013 g cm⁻³
formation energy without anion corrections: -543 meV/atom

Cell: 14.4324 14.4324 4.4233 Å, 90.00 90.00 163.53°
Last column: nearest neighbours and their distance in Å.
Fractional positions:
1 Tm 0.9494 0.0506 0.2500  5 Te 3.03-3.15
2 Tm 0.0506 0.9494 0.7500  5 Te 3.03-3.15
3 Te 0.8391 0.1609 0.2500  4 Te 3.10, 1 Tm 3.15
4 Te 0.1609 0.8391 0.7500  4 Te 3.10, 1 Tm 3.15
5 Te 0.6835 0.3165 0.2500  4 Te 3.10
6 Te 0.3165 0.6835 0.7500  4 Te 3.10
7 Te 0.5536 0.4464 0.2500  4 Tm 3.03
8 Te 0.4464 0.5536 0.7500  4 Tm 3.03


Record 8
The following is a GGA-PBE calculation of crystalline Tm2Te at its relaxed geometry, from Alexandria.

## Properties
spin magnetization: 0.000 μB/atom
volume: 82.9 Å³ per cell
symmetry: I4/mmm
N(E_F): 0.4863 states/eV/atom
calculated density: 9.322 g cm⁻³
formation energy without anion corrections: -750 meV/atom

Cell: 3.8104 3.8104 6.3143 Å, 107.56 107.56 90.00°
Last column: nearest neighbours and their distance in Å.
Fractional positions:
1 Tm 0.1578 0.1578 0.3154  4 Te 3.24, 5 Tm 3.42-3.60
2 Tm 0.8422 0.8422 0.6846  4 Te 3.24, 5 Tm 3.42-3.60
3 Te 0.5000 0.5000 0.0000  8 Tm 3.24


Record 9
The following is a GGA-PBE calculation of crystalline Tm3Te5 at its relaxed geometry, from Alexandria.

## Properties
spin magnetization: 0.000 μB/atom
volume: 462.5 Å³ per cell
symmetry: P6_3/mcm
N(E_F): 0.1562 states/eV/atom
calculated density: 8.220 g cm⁻³
formation energy without anion corrections: -1152 meV/atom

Cell: 6.1044 9.3534 9.3534 Å, 120.00 90.00 90.00°
Last column: nearest neighbours and their distance in Å.
Fractional positions:
1 Tm 0.2500 0.0000 0.3734  9 Te 3.13-3.32
2 Tm 0.2500 0.3734 0.0000  9 Te 3.13-3.32
3 Tm 0.2500 0.6266 0.6266  9 Te 3.13-3.32
4 Tm 0.7500 0.0000 0.6266  9 Te 3.13-3.32
5 Tm 0.7500 0.6266 0.0000  9 Te 3.13-3.32
6 Tm 0.7500 0.3734 0.3734  9 Te 3.13-3.32
7 Te 0.0000 0.6667 0.3333  2 Te 3.05, 6 Tm 3.32
8 Te 0.0000 0.3333 0.6667  2 Te 3.05, 6 Tm 3.32
9 Te 0.5000 0.3333 0.6667  2 Te 3.05, 6 Tm 3.32
10 Te 0.5000 0.6667 0.3333  2 Te 3.05, 6 Tm 3.32
11 Te 0.2500 0.0000 0.7252  5 Tm 3.13-3.29
12 Te 0.2500 0.7252 0.0000  5 Tm 3.13-3.29
13 Te 0.2500 0.2748 0.2748  5 Tm 3.13-3.29
14 Te 0.7500 0.0000 0.2748  5 Tm 3.13-3.29
15 Te 0.7500 0.2748 0.0000  5 Tm 3.13-3.29
16 Te 0.7500 0.7252 0.7252  5 Tm 3.13-3.29


Record 10
The following is a GGA-PBE calculation of crystalline Tm8Te3 at its relaxed geometry, from Alexandria.

## Properties
spin magnetization: 0.000 μB/atom
volume: 342.4 Å³ per cell
symmetry: R-3
N(E_F): 1.2890 states/eV/atom
calculated density: 8.411 g cm⁻³
formation energy without anion corrections: -355 meV/atom

Cell: 6.9983 6.9983 6.9983 Å, 88.49 88.49 88.49°
Last column: nearest neighbours and their distance in Å.
Fractional positions:
1 Tm 0.8835 0.3159 0.1367  2 Te 3.02-3.11
2 Tm 0.3159 0.1367 0.8835  2 Te 3.02-3.11
3 Tm 0.1367 0.8835 0.3159  2 Te 3.02-3.11
4 Tm 0.3601 0.3601 0.3601  3 Te 2.84
5 Tm 0.6399 0.6399 0.6399  3 Te 2.84
6 Tm 0.8633 0.1165 0.6841  2 Te 3.02-3.11
7 Tm 0.6841 0.8633 0.1165  2 Te 3.02-3.11
8 Tm 0.1165 0.6841 0.8633  2 Te 3.02-3.11
9 Te 0.5000 0.0000 0.5000  6 Tm 2.84-3.11
10 Te 0.0000 0.5000 0.5000  6 Tm 2.84-3.11
11 Te 0.5000 0.5000 0.0000  6 Tm 2.84-3.11


Record 11
The following is a GGA-PBE calculation of crystalline Tm3Te2 at its relaxed geometry, from Alexandria.

## Properties
spin magnetization: 0.000 μB/atom
volume: 590.9 Å³ per cell
symmetry: Pbcn
N(E_F): 0.7980 states/eV/atom
calculated density: 8.566 g cm⁻³
formation energy without anion corrections: -834 meV/atom

Cell: 7.6925 7.0871 10.8383 Å, 90.00 90.00 90.00°
Last column: nearest neighbours and their distance in Å.
Fractional positions:
1 Tm 0.4892 0.8766 0.8604  4 Te 3.03-3.22
2 Tm 0.0108 0.3766 0.6396  4 Te 3.03-3.22
3 Tm 0.4892 0.6234 0.1396  4 Te 3.03-3.22
4 Tm 0.0108 0.1234 0.3604  4 Te 3.03-3.22
5 Tm 0.5108 0.1234 0.1396  4 Te 3.03-3.22
6 Tm 0.9892 0.6234 0.3604  4 Te 3.03-3.22
7 Tm 0.5108 0.3766 0.8604  4 Te 3.03-3.22
8 Tm 0.9892 0.8766 0.6396  4 Te 3.03-3.22
9 Tm 0.8743 0.7500 0.0000  4 Te 3.01-3.09
10 Tm 0.6257 0.2500 0.5000  4 Te 3.01-3.09
11 Tm 0.1257 0.2500 0.0000  4 Te 3.01-3.09
12 Tm 0.3743 0.7500 0.5000  4 Te 3.01-3.09
13 Te 0.1720 0.8885 0.1563  6 Tm 3.01-3.22
14 Te 0.3280 0.3885 0.3437  6 Tm 3.01-3.22
15 Te 0.1720 0.6115 0.8437  6 Tm 3.01-3.22
16 Te 0.3280 0.1115 0.6563  6 Tm 3.01-3.22
17 Te 0.8280 0.1115 0.8437  6 Tm 3.01-3.22
18 Te 0.6720 0.6115 0.6563  6 Tm 3.01-3.22
19 Te 0.8280 0.3885 0.1563  6 Tm 3.01-3.22
20 Te 0.6720 0.8885 0.3437  6 Tm 3.01-3.22


Record 12
The following is a GGA-PBE calculation of crystalline TmTe4 at its relaxed geometry, from Alexandria.

## Properties
spin magnetization: 0.000 μB/atom
volume: 189.2 Å³ per cell
symmetry: Pm-3m
N(E_F): 1.2707 states/eV/atom
calculated density: 5.962 g cm⁻³
formation energy without anion corrections: -1 meV/atom

Cell: 5.7409 5.7409 5.7409 Å, 90.00 90.00 90.00°
Last column: nearest neighbours and their distance in Å.
Fractional positions:
1 Tm 0.5000 0.5000 0.5000  6 Te 2.87
2 Te 0.0000 0.0000 0.0000  12 Te 4.06
3 Te 0.5000 0.0000 0.5000  2 Tm 2.87
4 Te 0.0000 0.5000 0.5000  2 Tm 2.87
5 Te 0.5000 0.5000 0.0000  2 Tm 2.87


- volume of number 4 (Tm3Te)?
  232.7 Å³ per cell


- Which value of N(E_F) does entry 8 give?
  0.4863 states/eV/atom